Li5Ni3Sn2O10: optimized geometry, PBE+U.

Output
Total magnetization (μB per cell): 1.000
Calculated total energy (eV/atom): -5.1511
Energy above the most stable polymorph in this dataset (eV per formula unit): 3.535

abc: 5.1495 5.4126 10.8853
angles: 72.52 128.97 105.94
Fractional coordinates of all 20 atoms:
Li  0.0884  0.0117  0.2448
Li  0.2842  0.4489  0.8599
Li  0.5000  0.5000  0.5000
Li  0.7158  0.5511  0.1401
Li  0.9116  0.9883  0.7552
Ni  0.0000  0.5000  0.0000
Ni  0.6570  0.9837  0.9285
Ni  0.3430  0.0163  0.0715
Sn  0.1699  0.7564  0.5719
Sn  0.8301  0.2436  0.4281
O  0.6795  0.2281  0.0430
O  0.9545  0.3784  0.6159
O  0.4171  0.2623  0.2050
O  0.2197  0.1298  0.4592
O  0.9401  0.2311  0.8843
O  0.0599  0.7689  0.1157
O  0.7803  0.8702  0.5408
O  0.5829  0.7377  0.7950
O  0.0455  0.6216  0.3841
O  0.3205  0.7719  0.9570